Compound: Mg4Ga3
Source: the Alexandria database
Functional: GGA-PBE
Structure: optimized geometry

Unit cell a=13.0118 b=4.3412 c=5.6899 alpha=90.00 beta=111.09 gamma=90.00
Last column: nearest neighbours and their distance in Å.
Atoms (fractional coordinates):
1 Mg 0.0569 0.0000 0.3078  5 Ga 2.72-3.01
2 Mg 0.1576 0.5000 0.7812  5 Ga 2.76-2.95
3 Mg 0.3424 0.0000 0.2188  5 Ga 2.76-2.95
4 Mg 0.4431 0.5000 0.6922  5 Ga 2.72-3.01
5 Mg 0.5569 0.5000 0.3078  5 Ga 2.72-3.01
6 Mg 0.6576 0.0000 0.7812  5 Ga 2.76-2.95
7 Mg 0.8424 0.5000 0.2188  5 Ga 2.76-2.95
8 Mg 0.9431 0.0000 0.6922  5 Ga 2.72-3.01
9 Ga 0.0000 0.5000 0.0000  6 Mg 2.72-2.76, 2 Ga 2.82
10 Ga 0.2212 0.5000 0.3324  3 Ga 2.81-2.82, 7 Mg 2.88-3.01
11 Ga 0.2788 0.0000 0.6676  3 Ga 2.81-2.82, 7 Mg 2.88-3.01
12 Ga 0.5000 0.0000 0.0000  6 Mg 2.72-2.76, 2 Ga 2.82
13 Ga 0.7212 0.0000 0.3324  3 Ga 2.81-2.82, 7 Mg 2.88-3.01
14 Ga 0.7788 0.5000 0.6676  3 Ga 2.81-2.82, 7 Mg 2.88-3.01

Final energy = -2.27 eV/atom
Energy of formation from the pure elements = -0.06 eV/atom
DOS at the Fermi energy = 5.63 states/eV/cell
Total magnetic moment = 0.00 μB/f.u.

Compound: MgGa6
Source: the Alexandria database
Functional: GGA-PBE
Structure: optimized geometry

Unit cell a=7.1392 b=7.1392 c=7.1392 alpha=90.00 beta=90.00 gamma=90.00
Last column: nearest neighbours and their distance in Å.
Atoms (fractional coordinates):
1 Mg 0.0000 0.0000 0.0000  24 Ga 3.99
2 Mg 0.5000 0.5000 0.5000  24 Ga 3.99
3 Ga 0.0000 0.2500 0.5000  4 Ga 2.52
4 Ga 0.0000 0.5000 0.2500  4 Ga 2.52
5 Ga 0.0000 0.5000 0.7500  4 Ga 2.52
6 Ga 0.0000 0.7500 0.5000  4 Ga 2.52
7 Ga 0.2500 0.0000 0.5000  4 Ga 2.52
8 Ga 0.2500 0.5000 0.0000  4 Ga 2.52
9 Ga 0.5000 0.0000 0.2500  4 Ga 2.52
10 Ga 0.5000 0.0000 0.7500  4 Ga 2.52
11 Ga 0.5000 0.2500 0.0000  4 Ga 2.52
12 Ga 0.5000 0.7500 0.0000  4 Ga 2.52
13 Ga 0.7500 0.0000 0.5000  4 Ga 2.52
14 Ga 0.7500 0.5000 0.0000  4 Ga 2.52

Final energy = -2.51 eV/atom
Energy of formation from the pure elements = 0.31 eV/atom
DOS at the Fermi energy = 9.03 states/eV/cell
Total magnetic moment = 0.00 μB/f.u.